[1]
First-principles (meta-GGA SCAN) data for a PBEsol-optimized structure of Al2GaTc2, as listed in Alexandria.

Values from the calculation:
- DOS at the Fermi energy (states/eV/cell) = 3.79
- energy relative to the elements (eV/atom) = -0.404

Unit cell a=3.462 b=6.558 c=6.558 alpha=90.00 beta=90.00 gamma=90.00
Element x y z (fractional)
Tc: 0.000 0.154 0.346
Al: 0.500 0.355 0.145
Tc: 0.000 0.846 0.654
Al: 0.500 0.855 0.355
Tc: 0.000 0.654 0.154
Al: 0.500 0.645 0.855
Ga: 0.000 0.000 0.000
Al: 0.500 0.145 0.645
Ga: 0.000 0.500 0.500
Tc: 0.000 0.346 0.846


[2]
First-principles (meta-GGA SCAN) data for a PBEsol-optimized structure of Rb2AlInGe, as listed in Alexandria.

Values from the calculation:
- DOS at the Fermi energy (states/eV/cell) = 2.93
- energy relative to the elements (eV/atom) = 0.609

Unit cell a=5.026 b=6.668 c=6.668 alpha=90.00 beta=90.00 gamma=90.00
Element x y z (fractional)
Rb: 0.000 0.000 0.500
In: 0.500 0.000 0.000
Rb: 0.000 0.500 0.000
Ge: 0.500 0.500 0.500
Al: 0.000 0.000 0.000


[3]
First-principles (meta-GGA SCAN) data for a PBEsol-optimized structure of K5Ag, as listed in Alexandria.

Values from the calculation:
- DOS at the Fermi energy (states/eV/cell) = 3.39
- energy relative to the elements (eV/atom) = 0.049

Unit cell a=4.275 b=4.275 c=17.955 alpha=90.00 beta=90.00 gamma=90.00
Element x y z (fractional)
K: 0.000 0.000 0.897
Ag: 0.500 0.500 0.000
K: 0.500 0.500 0.698
K: 0.500 0.500 0.302
K: 0.000 0.000 0.103
K: 0.000 0.000 0.500


[4]
First-principles (meta-GGA SCAN) data for a PBEsol-optimized structure of Li3SbAu, as listed in Alexandria.

Values from the calculation:
- DOS at the Fermi energy (states/eV/cell) = 2.30
- formation energy (no corrections) (eV/atom) = -0.28

Unit cell a=4.707 b=4.707 c=4.707 alpha=90.00 beta=90.00 gamma=90.00
Element x y z (fractional)
Li: 0.500 0.000 0.000
Au: 0.000 0.000 0.000
Li: 0.000 0.500 0.000
Li: 0.000 0.000 0.500
Sb: 0.500 0.500 0.500


[5]
First-principles (meta-GGA SCAN) data for a PBEsol-optimized structure of ReAsWSe2, as listed in Alexandria.

Values from the calculation:
- DOS at the Fermi energy (states/eV/cell) = 3.72
- formation energy (no corrections) (eV/atom) = 1.57

Unit cell a=4.713 b=4.789 c=4.789 alpha=90.00 beta=90.00 gamma=90.00
Element x y z (fractional)
W: 0.500 0.500 0.500
As: 0.500 0.000 0.000
Re: 0.000 0.000 0.000
Se: 0.000 0.500 0.000
Se: 0.000 0.000 0.500


[6]
First-principles (meta-GGA SCAN) data for a PBEsol-optimized structure of BaN2F2, as listed in Alexandria.

Values from the calculation:
- DOS at the Fermi energy (states/eV/cell) = 8.85
- formation energy (no corrections) (eV/atom) = 0.26

Unit cell a=4.799 b=5.655 c=5.655 alpha=90.00 beta=90.00 gamma=90.00
Element x y z (fractional)
F: 0.500 0.000 0.000
N: 0.000 0.000 0.500
N: 0.000 0.500 0.000
Ba: 0.000 0.000 0.000
F: 0.500 0.500 0.500


[7]
First-principles (meta-GGA SCAN) data for a PBEsol-optimized structure of KMo2H, as listed in Alexandria.

Values from the calculation:
- DOS at the Fermi energy (states/eV/cell) = 4.02
- total energy (eV/atom) = -17.5917

Unit cell a=4.342 b=4.342 c=4.342 alpha=60.00 beta=60.00 gamma=60.00
Element x y z (fractional)
Mo: 0.250 0.250 0.250
Mo: 0.750 0.750 0.750
H: 0.000 0.000 0.000
K: 0.500 0.500 0.500


[8]
First-principles (meta-GGA SCAN) data for a PBEsol-optimized structure of LiMgPb2, as listed in Alexandria.

Values from the calculation:
- DOS at the Fermi energy (states/eV/cell) = 1.37
- energy relative to the elements (eV/atom) = -0.239

Unit cell a=3.377 b=5.244 c=5.776 alpha=97.62 beta=107.00 gamma=90.00
Element x y z (fractional)
Pb: 0.754 0.286 0.508
Mg: 0.251 0.776 0.501
Li: 0.498 0.470 0.996
Pb: 0.998 0.968 0.995


[9]
First-principles (meta-GGA SCAN) data for a PBEsol-optimized structure of MnPIr3, as listed in Alexandria.

Values from the calculation:
- DOS at the Fermi energy (states/eV/cell) = 6.50
- energy relative to the elements (eV/atom) = 1.753

Unit cell a=4.395 b=4.395 c=4.395 alpha=90.00 beta=90.00 gamma=90.00
Element x y z (fractional)
Mn: 0.000 0.000 0.000
Ir: 0.000 0.000 0.500
Ir: 0.500 0.000 0.000
Ir: 0.000 0.500 0.000
P: 0.500 0.500 0.500


[10]
First-principles (meta-GGA SCAN) data for a PBEsol-optimized structure of LaAlP4, as listed in Alexandria.

Values from the calculation:
- DOS at the Fermi energy (states/eV/cell) = 1.51
- energy relative to the elements (eV/atom) = -0.075

Unit cell a=5.321 b=5.321 c=5.321 alpha=60.00 beta=60.00 gamma=60.00
Element x y z (fractional)
La: 0.000 0.000 0.000
P: 0.842 0.386 0.386
P: 0.386 0.386 0.386
P: 0.386 0.842 0.386
Al: 0.750 0.750 0.750
P: 0.386 0.386 0.842


[11]
First-principles (meta-GGA SCAN) data for a PBEsol-optimized structure of SmB2Ir3, as listed in Alexandria.

Values from the calculation:
- DOS at the Fermi energy (states/eV/cell) = 1.65
- energy relative to the elements (eV/atom) = -0.800

Unit cell a=3.111 b=5.462 c=5.462 alpha=120.00 beta=90.00 gamma=90.00
Element x y z (fractional)
Sm: 0.000 0.000 0.000
B: 0.000 0.667 0.333
B: 0.000 0.333 0.667
Ir: 0.500 0.500 0.500
Ir: 0.500 0.000 0.500
Ir: 0.500 0.500 0.000


[12]
First-principles (meta-GGA SCAN) data for a PBEsol-optimized structure of TlHg4Pb, as listed in Alexandria.

Values from the calculation:
- DOS at the Fermi energy (states/eV/cell) = 1.65
- energy relative to the elements (eV/atom) = 0.064

Unit cell a=5.980 b=5.980 c=5.980 alpha=60.00 beta=60.00 gamma=60.00
Element x y z (fractional)
Pb: 0.750 0.750 0.750
Hg: 0.875 0.375 0.375
Hg: 0.375 0.375 0.875
Tl: 0.000 0.000 0.000
Hg: 0.375 0.375 0.375
Hg: 0.375 0.875 0.375